(1)
InSi2Rh: single point on PBEsol structure, meta-GGA SCAN.

Results
Formation energy without anion corrections   -6.49 kJ per mole of atoms
Calculated total energy   -21.865 eV per atom
V   65 Å³/cell

a = 2.9296 Å, b = 2.9296 Å, c = 7.5638 Å
α = 90.00°, β = 90.00°, γ = 90.00°
Space group P4/mmm (No. 123)
Asymmetric unit:
In 0.0000 0.0000 0.0000 x1
Si 0.5000 0.5000 0.3028 x2
Rh 0.0000 0.0000 0.5000 x1

=====

(2)
InSiRh2: single point on PBEsol structure, meta-GGA SCAN.

Results
Formation energy without anion corrections   -57.68 kJ per mole of atoms
Calculated total energy   -28.334 eV per atom
V   63 Å³/cell

a = 2.9539 Å, b = 3.0456 Å, c = 7.0348 Å
α = 90.00°, β = 90.00°, γ = 90.00°
Space group Pmm2 (No. 25)
Asymmetric unit:
In 0.0000 0.0000 0.0000 x1
Si 0.0000 0.5000 0.4911 x1
Rh 0.5000 0.0000 0.3352 x1
Rh 0.5000 0.5000 0.7477 x1

=====

(3)
InSi2Rh: single point on PBEsol structure, meta-GGA SCAN.

Results
Formation energy without anion corrections   -9.62 kJ per mole of atoms
Calculated total energy   -21.897 eV per atom
V   140 Å³/cell

a = 3.3133 Å, b = 3.6352 Å, c = 11.5876 Å
α = 90.00°, β = 90.00°, γ = 90.00°
Space group Amm2 (No. 38)
Asymmetric unit:
In 0.0000 0.0000 0.0000 x2
Si 0.0000 0.0000 0.7714 x2
Si 0.5000 0.0000 0.2540 x2
Rh 0.5000 0.0000 0.6178 x2

=====

(4)
InSiRh3: single point on PBEsol structure, meta-GGA SCAN.

Results
Formation energy without anion corrections   156.55 kJ per mole of atoms
Calculated total energy   -27.321 eV per atom
V   106 Å³/cell

a = 4.7261 Å, b = 4.7261 Å, c = 4.7261 Å
α = 90.00°, β = 90.00°, γ = 90.00°
Space group Pm-3m (No. 221)
Asymmetric unit:
In 0.0000 0.0000 0.0000 x1
Si 0.5000 0.5000 0.5000 x1
Rh 0.0000 0.0000 0.5000 x3

=====

(5)
InSiRh2: single point on PBEsol structure, meta-GGA SCAN.

Results
Formation energy without anion corrections   -67.87 kJ per mole of atoms
Calculated total energy   -28.440 eV per atom
V   58 Å³/cell

a = 2.8863 Å, b = 2.8863 Å, c = 6.9180 Å
α = 90.00°, β = 90.00°, γ = 90.00°
Space group P4/mmm (No. 123)
Asymmetric unit:
In 0.0000 0.0000 0.0000 x1
Si 0.0000 0.0000 0.5000 x1
Rh 0.5000 0.5000 0.2959 x2

=====

(6)
InSi2Rh: single point on PBEsol structure, meta-GGA SCAN.

Results
Formation energy without anion corrections   26.01 kJ per mole of atoms
Calculated total energy   -21.528 eV per atom
V   129 Å³/cell

a = 5.2805 Å, b = 9.6193 Å, c = 3.0718 Å
α = 90.00°, β = 124.34°, γ = 90.00°
Space group C2/m (No. 12)
Asymmetric unit:
In 0.0000 0.0000 0.0000 x2
Si 0.2500 0.2500 0.0000 x4
Rh 0.0000 0.5000 0.0000 x2

=====

(7)
SrInRh2: single point on PBEsol structure, meta-GGA SCAN.

Results
Calculated total energy   -31.053 eV per atom
E_form   -0.25 eV/atom
V   76 Å³/cell

a = 3.3214 Å, b = 3.3214 Å, c = 6.9080 Å
α = 90.00°, β = 90.00°, γ = 90.00°
Space group P4/mmm (No. 123)
Asymmetric unit:
Sr 0.0000 0.0000 0.0000 x1
In 0.0000 0.0000 0.5000 x1
Rh 0.5000 0.5000 0.2926 x2

=====

(8)
SrIn2Rh2: single point on PBEsol structure, meta-GGA SCAN.

Results
Calculated total energy   -31.791 eV per atom
E_form   -0.47 eV/atom
V   223 Å³/cell

a = 4.5745 Å, b = 4.5745 Å, c = 10.6349 Å
α = 90.00°, β = 90.00°, γ = 90.00°
Space group I4/mmm (No. 139)
Asymmetric unit:
Sr 0.0000 0.0000 0.0000 x2
In 0.0000 0.0000 0.3657 x4
Rh 0.0000 0.5000 0.2500 x4

=====

(9)
SrInRh2: single point on PBEsol structure, meta-GGA SCAN.

Results
Calculated total energy   -31.175 eV per atom
E_form   -0.37 eV/atom
V   283 Å³/cell

a = 4.5730 Å, b = 4.5730 Å, c = 15.6307 Å
α = 90.00°, β = 90.00°, γ = 120.00°
Space group R-3m (No. 166, hexagonal axes)
Asymmetric unit:
Sr 0.0000 0.0000 0.0000 x3
In 0.0000 0.0000 0.5000 x3
Rh 0.0000 0.0000 0.1833 x6

=====

(10)
SrIn8Rh2: single point on PBEsol structure, meta-GGA SCAN.

Results
Calculated total energy   -32.887 eV per atom
E_form   -0.44 eV/atom
V   968 Å³/cell

a = 13.8159 Å, b = 16.1249 Å, c = 4.3454 Å
α = 90.00°, β = 90.00°, γ = 90.00°
Space group Pbam (No. 55)
Asymmetric unit:
Sr 0.1569 0.1807 0.0000 x4
In 0.0000 0.0000 0.0000 x2
In 0.0000 0.5000 0.5000 x2
In 0.0206 0.8665 0.5000 x4
In 0.0501 0.3167 0.5000 x4
In 0.1010 0.7467 0.0000 x4
In 0.1594 0.4556 0.0000 x4
In 0.1666 0.6223 0.5000 x4
In 0.1702 0.0115 0.5000 x4
In 0.2406 0.8230 0.5000 x4
Rh 0.0349 0.5954 0.0000 x4
Rh 0.1541 0.9037 0.0000 x4

=====

(11)
Sr2InRh: single point on PBEsol structure, meta-GGA SCAN.

Results
Calculated total energy   -28.343 eV per atom
E_form   -0.42 eV/atom
V   238 Å³/cell

a = 4.4834 Å, b = 4.5931 Å, c = 11.5492 Å
α = 90.00°, β = 90.00°, γ = 90.00°
Space group Amm2 (No. 38)
Asymmetric unit:
Sr 0.0000 0.0000 0.0000 x2
Sr 0.5000 0.0000 0.2851 x2
In 0.0000 0.0000 0.7010 x2
Rh 0.5000 0.0000 0.5810 x2

=====

(12)
SrIn2Rh2: single point on PBEsol structure, meta-GGA SCAN.

Results
Calculated total energy   -31.726 eV per atom
E_form   -0.41 eV/atom
V   194 Å³/cell

a = 7.9723 Å, b = 7.9723 Å, c = 3.0536 Å
α = 90.00°, β = 90.00°, γ = 90.00°
Space group P4/mbm (No. 127)
Asymmetric unit:
Sr 0.0000 0.0000 0.0000 x2
In 0.1278 0.3722 0.0000 x4
Rh 0.1687 0.6687 0.5000 x4